Here is a relaxed structure of Cd2NiSe from Alexandria via LeMat-Bulk. Energies are from GGA-PBEsol.

Summary:
Its space group is P4mm.

a = 3.358 Å, b = 3.358 Å, c = 6.571 Å
α = 90.00°, β = 90.00°, γ = 90.00°
Fractional positions:
Cd 0.000 0.000 0.000
Cd 0.500 0.500 0.260
Ni 0.000 0.000 0.592
Se 0.500 0.500 0.665

***

Here is a relaxed structure of CdNiSe2 from Alexandria via LeMat-Bulk. Energies are from GGA-PBEsol.

Summary:
Its space group is R-3m.

a = 8.008 Å, b = 8.008 Å, c = 8.008 Å
α = 25.51°, β = 25.51°, γ = 25.51°
Fractional positions:
Cd 0.000 0.000 0.000
Ni 0.500 0.500 0.500
Se 0.114 0.114 0.114
Se 0.886 0.886 0.886

***

| no. | raw formation energy (meV per atom) |
| --- | --- |
| 1 | -9 |
| 2 | -194 |